VASP calculation (PBE) on an optimized crystal structure of NaHoCd6.

Results
- final energy (eV/atom) = -1.5959
- DOS at the Fermi energy (states/eV per cell) = 3.13

Structure (POSCAR):
```
NaHoCd6
1.0
5.037 0.000 0.000
0.000 6.563 -0.192
0.000 -3.078 5.800
Na Ho Cd
1 1 6
direct
0.500 0.414 0.586
0.000 0.085 0.915
0.000 0.074 0.410
0.000 0.590 0.926
0.000 0.586 0.414
0.500 0.424 0.089
0.500 0.911 0.576
0.500 0.915 0.085
```

VASP calculation (PBE) on an optimized crystal structure of ReRuAu2.

Results
- DOS at the Fermi energy (states/eV per cell) = 4.48
- offset from the most stable computed form (eV per formula unit) = 1.83

Structure (POSCAR):
```
ReRuAu2
1.0
-1.930 3.223 2.081
1.366 -1.347 3.354
3.170 2.170 -0.420
Au Re Ru
2 1 1
direct
0.000 0.000 0.000
0.000 0.500 0.500
0.500 0.500 0.000
0.500 0.000 0.500
```

VASP calculation (PBE) on an optimized crystal structure of TiVPd3.

Results
- DOS at the Fermi energy (states/eV per cell) = 5.67
- offset from the most stable computed form (eV per formula unit) = 4.63

Structure (POSCAR):
```
TiVPd3
1.0
-3.233 2.721 1.866
-3.062 -1.500 -3.117
-1.230 -3.418 2.853
V Pd Ti
1 3 1
direct
0.500 0.500 0.500
0.000 0.500 0.000
0.000 0.000 0.500
0.500 0.000 0.000
0.000 0.000 0.000
```

Q: Look up the DOS at the Fermi energy of the first one.
A: 3.13 states/eV per cell